A plane-wave DFT calculation with PBE was carried out for an optimized crystal structure of CsPBr.

As for the total magnetic moment: 0.0 μB/cell. The calculated volume comes out at 45.02 Å³/atom. As for the space group: P-1. Its total energy is -3.523 eV per atom. The calculation puts the formation energy (no corrections) at -2.6 eV per formula unit.

Cell: 6.178 6.680 9.658 Å, 50.02 71.18 62.25°
Positions (direct):
1 Cs 0.352 0.534 0.258
2 Cs 0.648 0.466 0.742
3 Br 0.669 0.910 0.250
4 Br 0.331 0.090 0.750
5 P 0.930 0.698 0.940
6 P 0.070 0.302 0.060

---

A plane-wave DFT calculation with PBE was carried out for an optimized crystal structure of CsPBr4.

As for the total magnetic moment: 0.0 μB/cell. The calculated volume comes out at 44.49 Å³/atom. As for the space group: Pmn2_1. Its total energy is -2.925 eV per atom. The calculation puts the formation energy (no corrections) at -4.6 eV per formula unit.

Cell: 8.471 5.946 10.599 Å, 90.00 90.00 90.00°
Positions (direct):
1 Cs 0.526 0.283 0.500
2 Cs 0.026 0.717 0.000
3 Br 0.501 0.658 0.000
4 Br 0.300 0.787 0.500
5 Br 0.789 0.750 0.671
6 Br 0.289 0.250 0.171
7 Br 0.789 0.750 0.329
8 Br 0.001 0.342 0.500
9 Br 0.289 0.250 0.829
10 Br 0.800 0.213 0.000
11 P 0.467 0.279 0.000
12 P 0.967 0.721 0.500

---

A plane-wave DFT calculation with PBE was carried out for an optimized crystal structure of CsPBr4.

As for the total magnetic moment: 0.0 μB/cell. The calculated volume comes out at 47.41 Å³/atom. As for the space group: P2_1/c. Its total energy is -2.962 eV per atom. The calculation puts the formation energy (no corrections) at -4.8 eV per formula unit.

Cell: 10.772 10.056 11.408 Å, 90.00 90.00 112.95°
Positions (direct):
1 Br 0.509 0.793 0.536
2 Br 0.760 0.480 0.326
3 Br 0.260 0.980 0.174
4 Br 0.009 0.293 0.964
5 Br 0.086 0.129 0.672
6 Br 0.491 0.207 0.464
7 Br 0.586 0.629 0.828
8 Br 0.759 0.379 0.824
9 Br 0.740 0.020 0.826
10 Br 0.741 0.121 0.324
11 Br 0.991 0.707 0.036
12 Br 0.259 0.879 0.676
13 Br 0.414 0.371 0.172
14 Br 0.914 0.871 0.328
15 Br 0.240 0.520 0.674
16 Br 0.241 0.621 0.176
17 Cs 0.138 0.238 0.371
18 Cs 0.638 0.738 0.129
19 Cs 0.362 0.262 0.871
20 Cs 0.862 0.762 0.629
21 P 0.894 0.248 0.793
22 P 0.394 0.748 0.707
23 P 0.606 0.252 0.293
24 P 0.106 0.752 0.207

---

A plane-wave DFT calculation with PBE was carried out for an optimized crystal structure of CsP2Br.

As for the total magnetic moment: 0.0 μB/cell. The calculated volume comes out at 40.67 Å³/atom. As for the space group: I4_1/amd. Its total energy is -3.404 eV per atom. The calculation puts the formation energy (no corrections) at -0.3 eV per formula unit.

Cell: 4.580 4.580 15.844 Å, 81.69 81.69 90.00°
Positions (direct):
1 Cs 0.000 0.000 0.000
2 Cs 0.750 0.250 0.500
3 P 0.375 0.125 0.250
4 P 0.375 0.625 0.750
5 P 0.875 0.625 0.750
6 P 0.375 0.625 0.250
7 Br 0.500 0.500 0.000
8 Br 0.250 0.750 0.500

---

A plane-wave DFT calculation with PBE was carried out for an optimized crystal structure of CsPBr2.

As for the total magnetic moment: 0.0 μB/cell. The calculated volume comes out at 43.28 Å³/atom. As for the space group: R-3m. Its total energy is -2.357 eV per atom. The calculation puts the formation energy (no corrections) at 0.2 eV per formula unit.

Cell: 9.176 9.176 9.176 Å, 30.19 30.19 30.19°
Positions (direct):
1 Br 0.872 0.872 0.872
2 Br 0.128 0.128 0.128
3 P 0.500 0.500 0.500
4 Cs 0.000 0.000 0.000

---

A plane-wave DFT calculation with PBE was carried out for an optimized crystal structure of CsP2Br2.

As for the total magnetic moment: 0.0 μB/cell. The calculated volume comes out at 31.34 Å³/atom. As for the space group: P4/mbm. Its total energy is -2.663 eV per atom. The calculation puts the formation energy (no corrections) at 1.7 eV per formula unit.

Cell: 9.618 9.618 3.388 Å, 90.00 90.00 90.00°
Positions (direct):
1 Cs 0.000 0.000 0.000
2 Cs 0.500 0.500 0.000
3 Br 0.378 0.878 0.000
4 Br 0.878 0.622 0.000
5 Br 0.122 0.378 0.000
6 Br 0.622 0.122 0.000
7 P 0.742 0.758 0.500
8 P 0.258 0.242 0.500
9 P 0.758 0.258 0.500
10 P 0.242 0.742 0.500

---

A plane-wave DFT calculation with PBE was carried out for an optimized crystal structure of Cs12P3Br5.

As for the total magnetic moment: 8.3 μB/cell. The calculated volume comes out at 58.39 Å³/atom. As for the space group: Ia-3d. Its total energy is -2.607 eV per atom. The calculation puts the formation energy (no corrections) at -17.3 eV per formula unit.

Cell: 18.239 18.239 18.239 Å, 109.47 109.47 109.47°
Last column: magnetic moment on the atom in μB.
Positions (direct):
1 Br 0.125 0.375 0.250  0.00
2 Br 0.000 0.000 0.500  0.00
3 Br 0.375 0.250 0.125  0.00
4 Br 0.000 0.500 0.500  0.00
5 Br 0.750 0.625 0.375  0.00
6 Br 0.000 0.000 0.000  0.00
7 Br 0.625 0.875 0.250  0.00
8 Br 0.250 0.875 0.125  0.00
9 Br 0.500 0.000 0.000  0.00
10 Br 0.375 0.125 0.750  0.00
11 Br 0.875 0.625 0.750  0.00
12 Br 0.875 0.250 0.625  0.00
13 Br 0.500 0.000 0.500  0.00
14 Br 0.125 0.750 0.375  0.00
15 Br 0.250 0.375 0.625  0.00
16 Br 0.500 0.500 0.000  0.00
17 Br 0.625 0.750 0.875  0.00
18 Br 0.500 0.500 0.500  0.00
19 Br 0.000 0.500 0.000  0.00
20 Br 0.750 0.125 0.875  0.00
21 Cs 0.584 0.941 0.669  0.01
22 Cs 0.727 0.143 0.059  0.01
23 Cs 0.585 0.727 0.669  0.01
24 Cs 0.085 0.916 0.357  0.01
25 Cs 0.669 0.441 0.584  0.01
26 Cs 0.169 0.085 0.727  0.01
27 Cs 0.273 0.415 0.831  0.01
28 Cs 0.857 0.585 0.916  0.01
29 Cs 0.227 0.669 0.085  0.01
30 Cs 0.084 0.169 0.441  0.01
31 Cs 0.143 0.415 0.084  0.01
32 Cs 0.857 0.273 0.441  0.01
33 Cs 0.084 0.915 0.143  0.01
34 Cs 0.441 0.773 0.857  0.01
35 Cs 0.584 0.643 0.415  0.01
36 Cs 0.416 0.357 0.585  0.01
37 Cs 0.143 0.727 0.559  0.01
38 Cs 0.059 0.416 0.831  0.01
39 Cs 0.331 0.773 0.415  0.01
40 Cs 0.059 0.643 0.727  0.01
41 Cs 0.773 0.331 0.915  0.01
42 Cs 0.831 0.916 0.059  0.01
43 Cs 0.916 0.831 0.559  0.01
44 Cs 0.773 0.441 0.357  0.01
45 Cs 0.415 0.273 0.331  0.01
46 Cs 0.915 0.084 0.643  0.01
47 Cs 0.727 0.585 0.169  0.01
48 Cs 0.441 0.669 0.084  0.01
49 Cs 0.941 0.584 0.169  0.01
50 Cs 0.559 0.227 0.143  0.01
51 Cs 0.941 0.357 0.273  0.01
52 Cs 0.357 0.416 0.085  0.01
53 Cs 0.357 0.941 0.773  0.01
54 Cs 0.273 0.857 0.941  0.01
55 Cs 0.085 0.169 0.227  0.01
56 Cs 0.415 0.143 0.584  0.01
57 Cs 0.915 0.831 0.773  0.01
58 Cs 0.585 0.857 0.416  0.01
59 Cs 0.559 0.331 0.916  0.01
60 Cs 0.916 0.085 0.857  0.01
61 Cs 0.669 0.227 0.585  0.01
62 Cs 0.169 0.084 0.941  0.01
63 Cs 0.416 0.059 0.331  0.01
64 Cs 0.643 0.584 0.915  0.01
65 Cs 0.331 0.559 0.416  0.01
66 Cs 0.831 0.915 0.273  0.01
67 Cs 0.227 0.559 0.643  0.01
68 Cs 0.643 0.059 0.227  0.01
69 P 0.375 0.750 0.625  0.24
70 P 0.125 0.250 0.875  0.24
71 P 0.625 0.250 0.375  0.24
72 P 0.625 0.375 0.750  0.24
73 P 0.750 0.875 0.625  0.24
74 P 0.125 0.875 0.750  0.24
75 P 0.375 0.625 0.250  0.24
76 P 0.750 0.375 0.125  0.24
77 P 0.250 0.625 0.875  0.24
78 P 0.875 0.125 0.250  0.24
79 P 0.250 0.125 0.375  0.24
80 P 0.875 0.750 0.125  0.24

---

A plane-wave DFT calculation with PBE was carried out for an optimized crystal structure of Cs2PPbBr6.

As for the total magnetic moment: 0.0 μB/cell. The calculated volume comes out at 36.73 Å³/atom. As for the space group: I4/mmm. Its total energy is -3.040 eV per atom. The calculation puts the formation energy (no corrections) at -9.5 eV per formula unit.

Cell: 8.024 8.024 8.046 Å, 60.09 60.09 90.00°
Positions (direct):
1 Br 0.735 0.265 0.000
2 Br 0.264 0.264 0.472
3 Br 0.736 0.736 0.528
4 Br 0.735 0.735 0.000
5 Br 0.265 0.735 0.000
6 Br 0.265 0.265 0.000
7 Cs 0.750 0.250 0.500
8 Cs 0.250 0.750 0.500
9 P 0.500 0.500 0.000
10 Pb 0.000 0.000 0.000

---

A plane-wave DFT calculation with PBE was carried out for an optimized crystal structure of Cs2PPdBr6.

As for the total magnetic moment: 0.0 μB/cell. The calculated volume comes out at 30.67 Å³/atom. As for the space group: I4/mmm. Its total energy is -3.078 eV per atom. The calculation puts the formation energy (no corrections) at -8.4 eV per formula unit.

Cell: 7.579 7.579 7.564 Å, 59.94 59.94 90.00°
Positions (direct):
1 Br 0.254 0.254 0.493
2 Br 0.746 0.746 0.000
3 Br 0.746 0.746 0.507
4 Br 0.746 0.254 0.000
5 Br 0.254 0.254 0.000
6 Br 0.254 0.746 0.000
7 Cs 0.250 0.750 0.500
8 Cs 0.750 0.250 0.500
9 P 0.500 0.500 0.000
10 Pd 0.000 0.000 0.000

---

A plane-wave DFT calculation with PBE was carried out for an optimized crystal structure of Cs2PPtBr.

As for the total magnetic moment: 0.0 μB/cell. The calculated volume comes out at 41.98 Å³/atom. As for the space group: P4/mmm. Its total energy is -3.790 eV per atom. The calculation puts the formation energy (no corrections) at -4.1 eV per formula unit.

Cell: 6.941 6.941 4.357 Å, 90.00 90.00 90.00°
Positions (direct):
1 P 0.000 0.000 0.000
2 Pt 0.000 0.000 0.500
3 Cs 0.000 0.500 0.000
4 Cs 0.500 0.000 0.000
5 Br 0.500 0.500 0.500